1.
{"formula": "Dy2Ho2Mg", "functional": "PBE-GGA", "state": "optimized geometry", "cell": [[-2.540, 2.540, 12.547], [2.540, -2.540, 12.547], [2.540, 2.540, -12.547]], "species": ["Dy", "Dy", "Dy", "Dy", "Ho", "Ho", "Ho", "Ho", "Mg", "Mg"], "frac_coords": [[0.045, 0.295, 0.750], [0.295, 0.045, 0.250], [0.705, 0.955, 0.750], [0.955, 0.705, 0.250], [0.200, 0.450, 0.750], [0.450, 0.200, 0.250], [0.550, 0.800, 0.750], [0.800, 0.550, 0.250], [0.125, 0.875, 0.250], [0.875, 0.125, 0.750]], "ef_mev_per_atom": 205, "polymorph_energy_kj_per_mol_atoms": 21.2, "magmom_total_mub_per_cell": 0.0, "dos_ef_per_ev_cell": 17.1}


2.
{"formula": "DyHoMg", "functional": "PBE-GGA", "state": "optimized geometry", "cell": [[5.780, -5.978, 0.000], [5.780, 5.978, 0.000], [0.000, 0.000, 3.257]], "species": ["Dy", "Dy", "Ho", "Ho", "Mg", "Mg"], "frac_coords": [[0.240, 0.760, 0.000], [0.760, 0.240, 0.000], [0.000, 0.000, 0.500], [0.500, 0.500, 0.000], [0.263, 0.263, 0.500], [0.737, 0.737, 0.500]], "ef_mev_per_atom": 719, "polymorph_energy_kj_per_mol_atoms": 72.9, "magmom_total_mub_per_cell": 0.0, "dos_ef_per_ev_cell": 8.5}


3.
{"formula": "DyHo4Mg", "functional": "PBE-GGA", "state": "optimized geometry", "cell": [[3.536, 0.000, 0.000], [0.000, 3.536, 0.000], [0.000, 0.000, 14.325]], "species": ["Dy", "Ho", "Ho", "Ho", "Ho", "Mg"], "frac_coords": [[0.000, 0.000, 0.000], [0.000, 0.000, 0.345], [0.000, 0.000, 0.655], [0.500, 0.500, 0.175], [0.500, 0.500, 0.825], [0.500, 0.500, 0.500]], "ef_mev_per_atom": -11, "polymorph_energy_kj_per_mol_atoms": 0.0, "magmom_total_mub_per_cell": 0.0, "dos_ef_per_ev_cell": 8.4}